# MgAgTe, optimized geometry, DFT PBE-GGA
data_MgAgTe
_chemical_formula_sum 'Mg2 Ag2 Te2'
_symmetry_space_group_name_H-M 'I 4 m m'
_symmetry_Int_Tables_number 107
_symmetry_space_group_name_Hall 'I 4 -2'
_cell_length_a 3.2844
_cell_length_b 3.2844
_cell_length_c 13.0085
_cell_angle_alpha 90.00
_cell_angle_beta 90.00
_cell_angle_gamma 90.00
loop_
_atom_site_label
_atom_site_fract_x
_atom_site_fract_y
_atom_site_fract_z
_atom_site_occupancy
Mg1 0.0000 0.0000 0.0000 1
Ag1 0.0000 0.0000 0.3683 1
Te1 0.0000 0.0000 0.6723 1
# Relative energy among the computed polymorphs   161 meV/atom
# E   -2.57 eV per atom

# TlReBr4, optimized geometry, DFT PBE-GGA
data_TlReBr4
_chemical_formula_sum 'Tl4 Re4 Br16'
_symmetry_space_group_name_H-M 'C 1 2/c 1'
_symmetry_Int_Tables_number 15
_cell_length_a 9.1477
_cell_length_b 15.1535
_cell_length_c 7.7649
_cell_angle_alpha 90.00
_cell_angle_beta 122.24
_cell_angle_gamma 90.00
loop_
_symmetry_equiv_pos_as_xyz
'x,y,z'
'-x,-y,-z'
'-x,y,-z+1/2'
'x,-y,z+1/2'
'x+1/2,y+1/2,z'
'-x+1/2,-y+1/2,-z'
'-x+1/2,y+1/2,-z+1/2'
'x+1/2,-y+1/2,z+1/2'
loop_
_atom_site_label
_atom_site_fract_x
_atom_site_fract_y
_atom_site_fract_z
_atom_site_occupancy
Tl1 0.0000 0.0824 0.2500 1
Re1 0.0000 0.4307 0.7500 1
Br1 0.1912 0.3140 0.7530 1
Br2 0.1943 0.4489 0.2468 1
# Relative energy among the computed polymorphs   0 meV/atom
# E   -3.79 eV per atom